# CrMoS2 | the Alexandria database | GGA-PBE | optimized geometry
data_CrMoS2
_chemical_formula_sum 'Cr4 Mo4 S8'
_cell_length_a 5.887
_cell_length_b 5.887
_cell_length_c 5.887
_cell_angle_alpha 90.00
_cell_angle_beta 90.00
_cell_angle_gamma 90.00
_space_group_name_H-M_alt 'F m -3 m'
_space_group_IT_number 225
_space_group_name_Hall '-F 4 2 3'
loop_
_atom_site_label
_atom_site_type_symbol
_atom_site_fract_x
_atom_site_fract_y
_atom_site_fract_z
Cr1 Cr 0.000 0.000 0.000
Mo1 Mo 0.000 0.000 0.500
S1 S 0.250 0.250 0.250
# Polymorph energy (0 for the lowest one) ... 58.3 meV/atom
# Total moment ... 0.01 μB/cell
# Crystal system ... cubic
# Uncorrected formation energy ... -0.1032 eV/atom
# Density of states at the Fermi level ... 0.98 states/eV per atom